A plane-wave DFT calculation with PBE-GGA was carried out for Mg3Pt2 after structural relaxation.

Summary:
- ΔE_f: -3.34 eV per formula unit
- VASP energy: -4.042 eV/atom
- Symmetry: No. 43
- Spin magnetization: 0.000 μB/f.u.
- DOS at the Fermi energy: 4.45 states/eV per cell

a b c (Å): 7.443 5.338 8.389
angles (deg): 60.97 38.83 80.21
Atoms (fractional coordinates):
1 Mg 0.000 0.000 0.000
2 Mg 0.250 0.250 0.250
3 Mg 0.391 0.609 0.385
4 Mg 0.609 0.391 0.615
5 Mg 0.635 0.865 0.641
6 Mg 0.865 0.635 0.859
7 Pt 0.052 0.444 0.060
8 Pt 0.190 0.805 0.198
9 Pt 0.444 0.052 0.445
10 Pt 0.805 0.190 0.806

---

A plane-wave DFT calculation with PBE-GGA was carried out for Mg3Pt after structural relaxation.

Summary:
- ΔE_f: -2.42 eV per formula unit
- VASP energy: -3.310 eV/atom
- Symmetry: No. 185
- Spin magnetization: 0.000 μB/f.u.
- DOS at the Fermi energy: 10.62 states/eV per cell

a b c (Å): 7.966 7.966 8.364
angles (deg): 90.00 90.00 120.00
Atoms (fractional coordinates):
1 Mg 0.000 0.000 0.000
2 Mg 0.000 0.000 0.500
3 Mg 0.000 0.283 0.260
4 Mg 0.000 0.375 0.605
5 Mg 0.000 0.625 0.105
6 Mg 0.000 0.717 0.760
7 Mg 0.283 0.000 0.260
8 Mg 0.283 0.283 0.760
9 Mg 0.333 0.667 0.388
10 Mg 0.333 0.667 0.888
11 Mg 0.375 0.000 0.605
12 Mg 0.375 0.375 0.105
13 Mg 0.625 0.000 0.105
14 Mg 0.625 0.625 0.605
15 Mg 0.667 0.333 0.388
16 Mg 0.667 0.333 0.888
17 Mg 0.717 0.000 0.760
18 Mg 0.717 0.717 0.260
19 Pt 0.000 0.327 0.932
20 Pt 0.000 0.673 0.432
21 Pt 0.327 0.000 0.932
22 Pt 0.327 0.327 0.432
23 Pt 0.673 0.000 0.432
24 Pt 0.673 0.673 0.932

---

A plane-wave DFT calculation with PBE-GGA was carried out for MgPt2 after structural relaxation.

Summary:
- ΔE_f: -1.46 eV per formula unit
- VASP energy: -5.046 eV/atom
- Symmetry: No. 74
- Spin magnetization: 0.000 μB/f.u.
- DOS at the Fermi energy: 3.13 states/eV per cell

a b c (Å): 9.584 9.584 9.584
angles (deg): 163.12 155.73 29.71
Atoms (fractional coordinates):
1 Mg 0.367 0.117 0.250
2 Mg 0.633 0.883 0.750
3 Pt 0.060 0.310 0.750
4 Pt 0.203 0.453 0.750
5 Pt 0.797 0.547 0.250
6 Pt 0.940 0.690 0.250

---

A plane-wave DFT calculation with PBE-GGA was carried out for Mg5Pt after structural relaxation.

Summary:
- ΔE_f: 1.02 eV per formula unit
- VASP energy: -2.166 eV/atom
- Symmetry: No. 191
- Spin magnetization: 0.000 μB/f.u.
- DOS at the Fermi energy: 2.38 states/eV per cell

a b c (Å): 5.417 5.417 5.043
angles (deg): 90.00 90.00 120.00
Atoms (fractional coordinates):
1 Mg 0.000 0.500 0.000
2 Mg 0.333 0.667 0.500
3 Mg 0.500 0.000 0.000
4 Mg 0.500 0.500 0.000
5 Mg 0.667 0.333 0.500
6 Pt 0.000 0.000 0.500

---

A plane-wave DFT calculation with PBE-GGA was carried out for Mg3Pt after structural relaxation.

Summary:
- ΔE_f: -2.33 eV per formula unit
- VASP energy: -3.289 eV/atom
- Symmetry: No. 194
- Spin magnetization: 0.000 μB/f.u.
- DOS at the Fermi energy: 3.69 states/eV per cell

a b c (Å): 4.617 4.617 8.359
angles (deg): 90.00 90.00 120.00
Atoms (fractional coordinates):
1 Mg 0.000 0.000 0.250
2 Mg 0.000 0.000 0.750
3 Mg 0.333 0.667 0.076
4 Mg 0.333 0.667 0.424
5 Mg 0.667 0.333 0.576
6 Mg 0.667 0.333 0.924
7 Pt 0.333 0.667 0.750
8 Pt 0.667 0.333 0.250

---

A plane-wave DFT calculation with PBE-GGA was carried out for Mg2Pt5 after structural relaxation.

Summary:
- ΔE_f: -3.79 eV per formula unit
- VASP energy: -5.311 eV/atom
- Symmetry: No. 66
- Spin magnetization: 0.000 μB/f.u.
- DOS at the Fermi energy: 9.05 states/eV per cell

a b c (Å): 6.942 6.942 5.590
angles (deg): 90.00 90.00 119.74
Atoms (fractional coordinates):
1 Mg 0.087 0.288 0.000
2 Mg 0.288 0.087 0.500
3 Mg 0.712 0.913 0.500
4 Mg 0.913 0.712 0.000
5 Pt 0.102 0.350 0.500
6 Pt 0.263 0.737 0.250
7 Pt 0.263 0.737 0.750
8 Pt 0.350 0.102 0.000
9 Pt 0.500 0.500 0.250
10 Pt 0.500 0.500 0.750
11 Pt 0.650 0.898 0.000
12 Pt 0.737 0.263 0.250
13 Pt 0.737 0.263 0.750
14 Pt 0.898 0.650 0.500

---

A plane-wave DFT calculation with PBE-GGA was carried out for MgPt2 after structural relaxation.

Summary:
- ΔE_f: -1.51 eV per formula unit
- VASP energy: -5.063 eV/atom
- Symmetry: No. 191
- Spin magnetization: 0.000 μB/f.u.
- DOS at the Fermi energy: 2.32 states/eV per cell

a b c (Å): 4.501 4.501 2.839
angles (deg): 90.00 90.00 120.00
Atoms (fractional coordinates):
1 Mg 0.000 0.000 0.000
2 Pt 0.333 0.667 0.500
3 Pt 0.667 0.333 0.500

---

A plane-wave DFT calculation with PBE-GGA was carried out for MgPt3 after structural relaxation.

Summary:
- ΔE_f: -2.03 eV per formula unit
- VASP energy: -5.436 eV/atom
- Symmetry: No. 25
- Spin magnetization: 0.000 μB/f.u.
- DOS at the Fermi energy: 2.72 states/eV per cell

a b c (Å): 2.867 4.648 4.732
angles (deg): 90.00 90.00 90.00
Atoms (fractional coordinates):
1 Mg 0.000 0.000 0.000
2 Pt 0.000 0.500 0.402
3 Pt 0.500 0.000 0.493
4 Pt 0.500 0.500 0.895